[1]
Material: InTcAg2
Method: DFT, PBE-GGA
State: relaxed

Results
Crystal system = monoclinic
Fermi-level density of states = 2.4 states/eV/f.u.
V = 17.84 Å³/atom
DFT formation energy = 0.37 eV per atom
Theoretical density = 10.0 g/cm3

Unit cell a=5.024 b=5.024 c=5.294 alpha=80.62 beta=80.62 gamma=32.81
Fractional coordinates of all 4 atoms:
Ag1 0.749 0.749 0.771
Ag2 0.997 0.997 0.988
In1 0.502 0.502 0.473
Tc1 0.251 0.251 0.268

***

[2]
Material: InTcAg2
Method: DFT, PBE-GGA
State: relaxed

Results
Crystal system = orthorhombic
Fermi-level density of states = 3.0 states/eV/f.u.
V = 18.09 Å³/atom
DFT formation energy = 0.36 eV per atom
Theoretical density = 9.8 g/cm3

Unit cell a=5.861 b=5.861 c=5.861 alpha=151.36 beta=130.96 gamma=57.78
Fractional coordinates of all 4 atoms:
Ag1 0.008 0.008 0.000
Ag2 0.492 0.492 0.000
Tc1 0.250 0.750 0.500
In1 0.750 0.250 0.500

***

[3]
Material: In2TcAg
Method: DFT, PBE-GGA
State: relaxed

Results
Crystal system = tetragonal
Fermi-level density of states = 3.1 states/eV/f.u.
V = 20.16 Å³/atom
DFT formation energy = 0.41 eV per atom
Theoretical density = 9.0 g/cm3

Unit cell a=3.006 b=3.006 c=8.924 alpha=90.00 beta=90.00 gamma=89.95
Fractional coordinates of all 4 atoms:
In1 0.500 0.500 0.289
In2 0.000 0.000 0.979
Ag1 0.500 0.500 0.725
Tc1 0.000 0.000 0.506

***

[4]
Material: InTcAg2
Method: DFT, PBE-GGA
State: relaxed

Results
Crystal system = orthorhombic
Fermi-level density of states = 2.8 states/eV/f.u.
V = 17.79 Å³/atom
DFT formation energy = 0.34 eV per atom
Theoretical density = 10.0 g/cm3

Unit cell a=4.705 b=2.904 c=5.207 alpha=90.04 beta=90.00 gamma=90.00
Fractional coordinates of all 4 atoms:
Ag1 0.000 0.875 0.048
Ag2 0.500 0.375 0.193
In1 0.000 0.375 0.562
Tc1 0.500 0.875 0.697

***

[5]
Material: In2TcAg
Method: DFT, PBE-GGA
State: relaxed

Results
Crystal system = tetragonal
Fermi-level density of states = 2.9 states/eV/f.u.
V = 19.55 Å³/atom
DFT formation energy = 0.36 eV per atom
Theoretical density = 9.2 g/cm3

Unit cell a=3.657 b=3.657 c=5.849 alpha=90.00 beta=90.00 gamma=90.00
Fractional coordinates of all 4 atoms:
In1 0.000 0.000 0.976
In2 0.500 0.500 0.289
Ag1 0.500 0.500 0.757
Tc1 0.000 0.000 0.478

***

[6]
Material: InTc2Ag
Method: DFT, PBE-GGA
State: relaxed

Results
Crystal system = orthorhombic
Fermi-level density of states = 2.9 states/eV/f.u.
V = 17.31 Å³/atom
DFT formation energy = 0.39 eV per atom
Theoretical density = 10.0 g/cm3

Unit cell a=2.826 b=2.826 c=9.630 alpha=90.00 beta=90.00 gamma=115.73
Fractional coordinates of all 4 atoms:
Tc1 0.500 0.500 0.232
Tc2 0.000 0.000 0.019
Ag1 0.000 0.000 0.490
In1 0.500 0.500 0.760